# 1
InSbSe4 | PBE | relaxed

Properties
Calculated volume: 571 Å³ per cell
Relative energy among the computed polymorphs: 677 meV/atom
Formation energy (no corrections): 2.653 eV/f.u.
DFT total energy: -3.0244 eV/atom

Geometry as CIF:
```
data_InSbSe4
_chemical_formula_sum 'In4 Sb4 Se16'
_space_group_name_H-M_alt 'F -4 3 m'
_space_group_IT_number 216
_space_group_name_Hall 'F -4 2 3'
_cell_length_a 8.298
_cell_length_b 8.298
_cell_length_c 8.298
_cell_angle_alpha 90.00
_cell_angle_beta 90.00
_cell_angle_gamma 90.00
loop_
_atom_site_label
_atom_site_type_symbol
_atom_site_fract_x
_atom_site_fract_y
_atom_site_fract_z
_atom_site_occupancy
In1 In 0.000 0.000 0.000 1
Sb1 Sb 0.250 0.250 0.750 1
Se1 Se 0.125 0.125 0.375 1
```

# 2
In3SbSe | PBE | relaxed

Properties
Calculated volume: 166 Å³ per cell
Relative energy among the computed polymorphs: 271 meV/atom
Formation energy (no corrections): 1.383 eV/f.u.
DFT total energy: -2.8878 eV/atom

Geometry as CIF:
```
data_In3SbSe
_chemical_formula_sum 'In3 Sb1 Se1'
_space_group_name_H-M_alt 'P m -3 m'
_space_group_IT_number 221
_space_group_name_Hall '-P 4 2 3'
_cell_length_a 5.495
_cell_length_b 5.495
_cell_length_c 5.495
_cell_angle_alpha 90.00
_cell_angle_beta 90.00
_cell_angle_gamma 90.00
loop_
_atom_site_label
_atom_site_type_symbol
_atom_site_fract_x
_atom_site_fract_y
_atom_site_fract_z
_atom_site_occupancy
In1 In 0.000 0.000 0.500 1
Sb1 Sb 0.500 0.500 0.500 1
Se1 Se 0.000 0.000 0.000 1
```

# 3
InSbSe2 | PBE | relaxed

Properties
Calculated volume: 382 Å³ per cell
Formation energy (no corrections): -0.117 eV/f.u.
DFT total energy: -3.4867 eV/atom

Geometry as CIF:
```
data_InSbSe2
_chemical_formula_sum 'In4 Sb4 Se8'
_space_group_name_H-M_alt 'F m -3 m'
_space_group_IT_number 225
_space_group_name_Hall '-F 4 2 3'
_cell_length_a 7.259
_cell_length_b 7.259
_cell_length_c 7.259
_cell_angle_alpha 90.00
_cell_angle_beta 90.00
_cell_angle_gamma 90.00
loop_
_atom_site_label
_atom_site_type_symbol
_atom_site_fract_x
_atom_site_fract_y
_atom_site_fract_z
_atom_site_occupancy
In1 In 0.000 0.000 0.000 1
Sb1 Sb 0.000 0.000 0.500 1
Se1 Se 0.250 0.250 0.250 1
```